Entry 1:
Tb2PmY4 GGA-PBE relaxed; E_tot = -5.571 eV per atom
1.0
6.062 0.000 0.000
0.000 6.656 0.000
-2.835 0.000 11.320
Tb Pm Y
4 2 8
Cartesian
-0.788 1.664 5.530 Tb
1.892 4.992 0.581 Tb
1.334 1.664 10.739 Tb
4.014 4.992 5.789 Tb
0.997 4.992 7.183 Pm
2.229 1.664 4.137 Pm
-1.278 0.049 8.944 Y
-1.278 3.279 8.944 Y
1.145 1.664 0.915 Y
1.227 4.992 3.806 Y
1.999 1.664 7.514 Y
2.081 4.992 10.405 Y
4.504 3.377 2.375 Y
4.504 6.606 2.375 Y

***

Entry 2:
TbPm6Y8 GGA-PBE relaxed; E_tot = -5.481 eV per atom
1.0
4.893 2.825 6.000
-4.893 2.825 6.000
0.000 -5.650 6.000
Tb Pm Y
1 6 8
Cartesian
0.000 0.000 0.000 Tb
-2.591 0.359 5.816 Pm
0.984 -2.423 5.816 Pm
-1.606 -2.064 12.183 Pm
1.606 2.064 5.816 Pm
-0.984 2.423 12.183 Pm
2.591 -0.359 12.183 Pm
-3.395 -1.248 8.937 Y
-0.617 -3.564 9.062 Y
-2.778 2.317 9.062 Y
0.000 0.000 7.484 Y
0.000 0.000 10.515 Y
2.778 -2.317 8.937 Y
0.617 3.564 8.937 Y
3.395 1.248 9.062 Y

***

Entry 3:
Tb5PmY3 GGA-PBE relaxed; E_tot = -4.842 eV per atom
1.0
8.414 -4.011 0.000
8.414 4.011 0.000
-8.044 0.000 9.346
Tb Pm Y
10 2 6
Cartesian
8.414 2.563 0.000 Tb
2.794 0.000 0.658 Tb
5.557 1.643 2.062 Tb
3.228 1.643 7.284 Tb
2.831 0.000 4.048 Tb
5.953 0.000 5.298 Tb
5.557 -1.643 2.062 Tb
3.228 -1.643 7.284 Tb
5.990 0.000 8.688 Tb
8.414 -2.563 0.000 Tb
-2.579 0.000 8.161 Pm
11.363 0.000 1.185 Pm
-4.022 0.000 4.673 Y
-0.530 0.000 2.925 Y
0.132 0.000 6.147 Y
8.414 0.000 0.000 Y
8.652 0.000 3.199 Y
9.315 0.000 6.421 Y

***

Entry 4:
Tb3PmY3 GGA-PBE relaxed; E_tot = -5.291 eV per atom
1.0
3.106 1.793 14.301
-3.106 1.793 14.301
0.000 -3.586 14.301
Tb Pm Y
6 2 6
Cartesian
-1.029 -1.802 20.011 Tb
-2.075 -0.010 22.891 Tb
-1.046 1.792 20.011 Tb
1.046 -1.792 22.891 Tb
2.075 0.010 20.011 Tb
1.029 1.802 22.891 Tb
0.000 0.000 14.301 Pm
0.000 0.000 28.601 Pm
-2.070 -0.001 17.182 Y
-1.034 -1.794 25.720 Y
1.036 -1.792 17.182 Y
-1.036 1.792 25.720 Y
1.034 1.794 17.182 Y
2.070 0.001 25.720 Y

***

Entry 5:
Tb4Pm5Y2 GGA-PBE relaxed; E_tot = -4.877 eV per atom
1.0
12.050 -1.747 0.000
12.050 1.747 0.000
-1.144 0.000 8.754
Tb Pm Y
4 5 2
Cartesian
0.684 0.000 3.172 Tb
7.207 0.000 4.635 Tb
15.749 0.000 4.118 Tb
22.272 0.000 5.582 Tb
3.224 0.000 1.041 Pm
4.649 0.000 7.179 Pm
12.050 0.000 0.000 Pm
18.307 0.000 1.574 Pm
19.732 0.000 7.712 Pm
1.380 0.000 6.427 Y
21.576 0.000 2.326 Y

***

Entry 6:
Tb6Pm12Y GGA-PBE relaxed; E_tot = -4.568 eV per atom
1.0
7.427 4.288 3.477
-7.427 4.288 3.477
0.000 -8.576 3.477
Tb Pm Y
6 12 1
Cartesian
-2.767 -0.639 2.707 Tb
1.937 -2.077 2.707 Tb
0.830 2.716 2.707 Tb
-0.830 -2.716 7.725 Tb
-1.937 2.077 7.725 Tb
2.767 0.639 7.725 Tb
-2.176 -6.489 4.317 Pm
-6.707 -1.360 6.115 Pm
-1.112 -3.274 4.392 Pm
-4.532 5.129 4.317 Pm
-3.391 -0.674 6.040 Pm
-2.279 2.600 4.392 Pm
2.279 -2.600 6.040 Pm
3.391 0.674 4.392 Pm
4.532 -5.129 6.115 Pm
1.112 3.274 6.040 Pm
6.707 1.360 4.317 Pm
2.176 6.489 6.115 Pm
0.000 0.000 5.216 Y

***

Entry 7:
TbPm6Y8 GGA-PBE relaxed; E_tot = -5.537 eV per atom
1.0
4.568 2.637 6.986
-4.568 2.637 6.986
0.000 -5.275 6.986
Tb Pm Y
1 6 8
Cartesian
0.000 0.000 0.000 Tb
-1.984 0.494 6.089 Pm
0.564 -1.965 6.089 Pm
-1.420 -1.471 14.867 Pm
1.420 1.471 6.089 Pm
-0.564 1.965 14.867 Pm
1.984 -0.494 14.867 Pm
-2.770 -1.762 11.021 Y
-2.911 1.518 9.936 Y
0.141 -3.280 9.936 Y
0.000 0.000 8.862 Y
0.000 0.000 12.094 Y
-0.141 3.280 11.021 Y
2.911 -1.518 11.021 Y
2.770 1.762 9.936 Y

***

Entry 8:
Tb5Pm4Y6 GGA-PBE relaxed; E_tot = -5.320 eV per atom
1.0
2.744 -10.857 0.000
2.744 10.857 0.000
0.000 0.000 16.578
Tb Pm Y
10 8 12
Cartesian
2.744 10.074 8.289 Tb
2.744 7.740 0.704 Tb
2.744 7.531 5.986 Tb
2.744 5.738 14.208 Tb
2.744 3.109 6.610 Tb
2.744 -3.109 14.899 Tb
2.744 -5.738 5.919 Tb
2.744 -7.531 14.275 Tb
2.744 -7.740 8.993 Tb
2.744 -10.074 0.000 Tb
2.744 3.315 11.616 Pm
2.744 3.119 0.249 Pm
2.744 1.569 3.545 Pm
2.744 0.784 9.279 Pm
2.744 -0.784 0.990 Pm
2.744 -1.569 11.834 Pm
2.744 -3.119 8.538 Pm
2.744 -3.315 3.327 Pm
2.744 10.067 3.382 Y
2.744 9.312 14.099 Y
2.744 7.847 11.018 Y
2.744 5.440 8.856 Y
2.744 5.146 3.343 Y
2.744 0.768 14.214 Y
2.744 -0.768 5.925 Y
2.744 -5.146 11.632 Y
2.744 -5.440 0.567 Y
2.744 -7.847 2.729 Y
2.744 -9.312 5.810 Y
2.744 -10.067 11.671 Y

***

Entry 9:
TbPm7Y2 GGA-PBE relaxed; E_tot = -4.683 eV per atom
1.0
6.037 -8.454 0.000
6.037 8.454 0.000
0.000 0.000 3.518
Tb Pm Y
1 7 2
Cartesian
0.000 0.000 0.000 Tb
3.091 2.187 1.759 Pm
6.037 2.963 0.000 Pm
3.091 -2.187 1.759 Pm
6.037 0.000 1.759 Pm
8.984 2.187 1.759 Pm
6.037 -2.963 0.000 Pm
8.984 -2.187 1.759 Pm
6.037 5.610 1.759 Y
6.037 -5.610 1.759 Y

***

Entry 10:
Tb2Pm2Y GGA-PBE relaxed; E_tot = -4.960 eV per atom
1.0
9.490 0.000 0.000
0.000 9.490 0.000
0.000 0.000 3.717
Tb Pm Y
4 4 2
Cartesian
1.198 3.547 0.000 Tb
3.547 8.292 0.000 Tb
5.943 1.198 0.000 Tb
8.292 5.943 0.000 Tb
1.642 6.388 1.859 Pm
3.103 1.642 1.859 Pm
6.388 7.848 1.859 Pm
7.848 3.103 1.859 Pm
0.000 0.000 0.000 Y
4.745 4.745 0.000 Y

***

Entry 11:
Tb7Pm2Y2 GGA-PBE relaxed; E_tot = -4.909 eV per atom
1.0
6.587 0.000 0.000
-0.660 6.683 0.000
-1.411 -3.362 8.182
Tb Pm Y
7 2 2
Cartesian
0.000 0.000 0.000 Tb
-0.753 0.016 6.794 Tb
1.935 2.155 1.770 Tb
1.985 -2.100 7.049 Tb
2.530 5.420 1.134 Tb
2.581 1.165 6.413 Tb
5.269 3.305 1.388 Tb
0.157 2.602 4.683 Pm
4.359 0.718 3.500 Pm
0.955 -0.760 3.695 Y
3.561 4.080 4.487 Y

***

Entry 12:
Tb8Pm3Y2 GGA-PBE relaxed; E_tot = -4.922 eV per atom
1.0
10.438 -2.535 0.000
10.438 2.535 0.000
-0.611 0.000 7.996
Tb Pm Y
8 3 2
Cartesian
1.552 0.000 0.917 Tb
2.784 0.000 5.851 Tb
5.830 0.000 7.686 Tb
7.660 0.000 4.620 Tb
12.605 0.000 3.376 Tb
14.435 0.000 0.310 Tb
17.481 0.000 2.145 Tb
18.713 0.000 7.079 Tb
-0.305 0.000 3.998 Pm
9.509 0.000 1.541 Pm
10.756 0.000 6.454 Pm
4.610 0.000 2.763 Y
15.655 0.000 5.232 Y

***

Entry 13:
Tb2Pm8Y GGA-PBE relaxed; E_tot = -4.764 eV per atom
1.0
5.627 -3.730 0.000
5.627 3.730 0.000
-2.632 0.000 8.963
Tb Pm Y
2 8 1
Cartesian
1.264 0.000 1.145 Tb
7.358 0.000 7.818 Tb
4.270 1.620 2.001 Pm
2.190 0.000 4.493 Pm
1.327 0.000 7.830 Pm
4.352 1.620 6.962 Pm
4.270 -1.620 2.001 Pm
7.294 0.000 1.133 Pm
6.432 0.000 4.470 Pm
4.352 -1.620 6.962 Pm
-1.316 0.000 4.482 Y

***

Entry 14:
Tb2Pm2Y GGA-PBE relaxed; E_tot = -4.975 eV per atom
1.0
8.113 -3.072 0.000
8.113 3.072 0.000
-1.411 0.000 6.691
Tb Pm Y
4 4 2
Cartesian
1.340 0.467 0.977 Tb
0.634 -0.467 4.323 Tb
14.181 0.467 2.368 Tb
13.476 -0.467 5.714 Tb
4.324 0.311 2.828 Pm
3.618 -0.311 6.173 Pm
11.197 0.311 0.518 Pm
10.492 -0.311 3.863 Pm
7.760 0.443 1.673 Y
7.055 -0.443 5.018 Y

***

Entry 15:
Tb2Pm5Y12 GGA-PBE relaxed; E_tot = -5.710 eV per atom
1.0
6.082 0.000 0.000
0.250 9.787 0.000
1.437 3.867 10.594
Tb Pm Y
2 5 12
Cartesian
1.537 4.530 0.859 Tb
6.231 9.124 9.735 Tb
0.665 8.059 0.161 Pm
3.369 8.500 4.839 Pm
3.759 1.934 5.297 Pm
4.399 5.154 5.755 Pm
7.103 5.595 10.433 Pm
0.641 6.606 3.528 Y
1.074 3.272 4.175 Y
1.743 3.704 7.544 Y
3.319 9.696 8.214 Y
2.646 0.968 1.633 Y
4.080 6.353 8.933 Y
3.688 7.301 1.661 Y
5.122 12.685 8.961 Y
4.449 3.957 2.380 Y
6.025 9.949 3.050 Y
6.694 10.381 6.419 Y
7.127 7.048 7.066 Y

***

Entry 16:
Tb7PmY12 GGA-PBE relaxed; E_tot = -5.456 eV per atom
1.0
6.447 3.722 4.553
-6.447 3.722 4.553
0.000 -7.444 4.553
Tb Pm Y
7 1 12
Cartesian
0.000 0.000 0.000 Tb
-1.739 -1.479 4.754 Tb
-0.411 2.246 4.754 Tb
2.150 -0.767 4.754 Tb
-2.150 0.767 8.904 Tb
0.411 -2.246 8.904 Tb
1.739 1.479 8.904 Tb
0.000 0.000 6.829 Pm
-0.408 -2.228 2.089 Y
-1.726 1.467 2.089 Y
-3.647 1.144 5.680 Y
-2.814 -2.586 7.978 Y
0.833 -3.730 5.680 Y
2.134 0.761 2.089 Y
-2.134 -0.761 11.569 Y
-0.833 3.730 7.978 Y
2.814 2.586 5.680 Y
3.647 -1.144 7.978 Y
1.726 -1.467 11.569 Y
0.408 2.228 11.569 Y

***

Entry 17:
TbPm5Y3 GGA-PBE relaxed; E_tot = -5.183 eV per atom
1.0
8.802 -4.686 0.000
8.802 4.686 0.000
0.000 0.000 7.351
Tb Pm Y
2 10 6
Cartesian
8.802 3.097 5.513 Tb
8.802 -3.097 1.838 Tb
5.920 3.034 0.011 Pm
5.920 3.034 3.665 Pm
8.802 2.849 1.838 Pm
11.683 3.034 0.011 Pm
11.683 3.034 3.665 Pm
5.920 -3.034 3.686 Pm
5.920 -3.034 7.341 Pm
8.802 -2.849 5.513 Pm
11.683 -3.034 3.686 Pm
11.683 -3.034 7.341 Pm
5.652 -0.004 1.838 Y
5.652 0.004 5.513 Y
8.802 0.000 0.000 Y
8.802 0.000 3.676 Y
11.951 -0.004 1.838 Y
11.951 0.004 5.513 Y

***

Entry 18:
Tb6Pm2Y5 GGA-PBE relaxed; E_tot = -5.255 eV per atom
1.0
11.709 0.000 0.000
0.000 20.349 0.000
0.000 0.000 3.611
Tb Pm Y
12 4 10
Cartesian
0.718 1.576 0.000 Tb
0.929 7.434 0.000 Tb
2.054 12.823 1.806 Tb
3.800 2.649 1.806 Tb
4.926 17.608 0.000 Tb
5.137 11.751 0.000 Tb
6.572 8.598 0.000 Tb
6.783 2.741 0.000 Tb
7.909 17.700 1.806 Tb
9.654 7.526 1.806 Tb
10.780 12.915 0.000 Tb
10.991 18.773 0.000 Tb
1.978 15.981 0.000 Pm
3.876 5.806 0.000 Pm
7.832 14.543 0.000 Pm
9.731 4.368 0.000 Pm
0.000 10.174 1.806 Y
1.063 4.525 1.806 Y
2.326 19.262 1.806 Y
3.528 9.087 1.806 Y
4.792 14.700 1.806 Y
5.854 0.000 1.806 Y
6.917 5.649 1.806 Y
8.180 11.262 1.806 Y
9.383 1.087 1.806 Y
10.646 15.824 1.806 Y